VASP calculation (PBE) on a relaxed SrAs2Au crystal.

abc: 3.9520 3.9520 7.0975
angles: 90.00 90.00 114.44
Positions (direct):
Au (0.5000, 0.5000, 0.2500)
Sr (0.5000, 0.5000, 0.7500)
As (0.0000, 0.0000, 0.0453)
As (0.0000, 0.0000, 0.4547)

Fermi-level density of states (states/eV per cell): 1.9
Symmetry: Cmmm
Final energy (eV per atom): -3.826
Formation enthalpy at 0 K (eV/atom): -0.261

***

VASP calculation (PBE) on a relaxed Sr2AsAu crystal.

abc: 4.5389 4.5389 8.0029
angles: 73.53 73.53 60.00
Positions (direct):
Au (0.5008, 0.5008, 0.4977)
Sr (0.2621, 0.2621, 0.2137)
Sr (0.0712, 0.0712, 0.7863)
As (0.6659, 0.6659, 0.0024)

Fermi-level density of states (states/eV per cell): 0.4
Symmetry: R3m
Final energy (eV per atom): -3.721
Formation enthalpy at 0 K (eV/atom): -0.899

***

VASP calculation (PBE) on a relaxed SrAs2Au crystal.

abc: 3.8879 3.9371 6.3143
angles: 90.00 90.00 90.00
Positions (direct):
Au (0.5000, 0.5000, 0.2500)
Sr (0.5000, 0.5000, 0.7500)
As (0.0000, 0.0000, 0.0571)
As (0.0000, 0.0000, 0.4429)

Fermi-level density of states (states/eV per cell): 3.4
Symmetry: Pmmm
Final energy (eV per atom): -3.762
Formation enthalpy at 0 K (eV/atom): -0.197

***

VASP calculation (PBE) on a relaxed SrAsAu crystal.

abc: 4.5172 6.2660 6.2664
angles: 86.27 68.89 68.89
Positions (direct):
Sr (0.9227, 0.2064, 0.4828)
Sr (0.9229, 0.6956, 0.9935)
As (0.2600, 0.1137, 0.9006)
As (0.5856, 0.7884, 0.5756)
Au (0.5960, 0.2778, 0.0650)
Au (0.2496, 0.6243, 0.4113)

Fermi-level density of states (states/eV per cell): 0.0
Symmetry: Immm
Final energy (eV per atom): -4.045
Formation enthalpy at 0 K (eV/atom): -0.842

***

VASP calculation (PBE) on a relaxed SrAs3Au3 crystal.

abc: 7.1861 7.1861 7.1861
angles: 90.00 90.00 90.00
Positions (direct):
Au (0.0000, 0.2500, 0.5000)
Au (0.0000, 0.7500, 0.5000)
Au (0.5000, 0.0000, 0.2500)
Au (0.7500, 0.5000, 0.0000)
Au (0.5000, 0.0000, 0.7500)
Au (0.2500, 0.5000, 0.0000)
As (0.5000, 0.2500, 0.0000)
As (0.0000, 0.5000, 0.2500)
As (0.5000, 0.7500, 0.0000)
As (0.0000, 0.5000, 0.7500)
As (0.2500, 0.0000, 0.5000)
As (0.7500, 0.0000, 0.5000)
Sr (0.5000, 0.5000, 0.5000)
Sr (0.0000, 0.0000, 0.0000)

Fermi-level density of states (states/eV per cell): 5.8
Symmetry: Pm-3n
Final energy (eV per atom): -3.855
Formation enthalpy at 0 K (eV/atom): -0.217

***

VASP calculation (PBE) on a relaxed Sr2AsAu2 crystal.

abc: 7.7859 7.7859 4.4434
angles: 90.00 90.00 90.00
Positions (direct):
Sr (0.1816, 0.6816, 0.5000)
Sr (0.3184, 0.1816, 0.5000)
Sr (0.6816, 0.8184, 0.5000)
Sr (0.8184, 0.3184, 0.5000)
Au (0.3745, 0.8745, 0.0000)
Au (0.8745, 0.6255, 0.0000)
Au (0.6255, 0.1255, 0.0000)
Au (0.1255, 0.3745, 0.0000)
As (0.5000, 0.5000, 0.0000)
As (0.0000, 0.0000, 0.0000)

Fermi-level density of states (states/eV per cell): 4.6
Symmetry: P4/mbm
Polymorph energy (0 for the lowest one) (meV per atom): 0
Final energy (eV per atom): -3.595
Formation enthalpy at 0 K (eV/atom): -0.682

***

VASP calculation (PBE) on a relaxed SrAs12Au4 crystal.

abc: 7.9222 7.9230 7.9225
angles: 109.47 109.47 109.47
Positions (direct):
Sr (0.0000, 0.0000, 0.0000)
As (0.1399, 0.6410, 0.7809)
As (0.4989, 0.1399, 0.3590)
As (0.8601, 0.6410, 0.5011)
As (0.6410, 0.5011, 0.8601)
As (0.3590, 0.2190, 0.8601)
As (0.6410, 0.7810, 0.1399)
As (0.1399, 0.3590, 0.4989)
As (0.8601, 0.3590, 0.2191)
As (0.3590, 0.4989, 0.1399)
As (0.5011, 0.8601, 0.6410)
As (0.2191, 0.8601, 0.3590)
As (0.7809, 0.1399, 0.6410)
Au (0.5000, 0.0000, 0.0000)
Au (0.5000, 0.5000, 0.5000)
Au (0.0000, 0.5000, 0.0000)
Au (0.0000, 0.0000, 0.5000)

Fermi-level density of states (states/eV per cell): 6.7
Symmetry: Im-3
Final energy (eV per atom): -4.229
Formation enthalpy at 0 K (eV/atom): -0.077

***

VASP calculation (PBE) on a relaxed SrAs2Au crystal.

abc: 5.0568 5.0568 5.0568
angles: 60.00 60.00 60.00
Positions (direct):
As (0.7500, 0.7500, 0.7500)
As (0.2500, 0.2500, 0.2500)
Au (0.5000, 0.5000, 0.5000)
Sr (0.0000, 0.0000, 0.0000)

Fermi-level density of states (states/eV per cell): 3.2
Symmetry: Fm-3m
Final energy (eV per atom): -3.740
Formation enthalpy at 0 K (eV/atom): -0.176

***

VASP calculation (PBE) on a relaxed SrTaAsAu2 crystal.

abc: 5.3652 6.1914 5.3652
angles: 90.00 90.00 90.00
Site moments in Bohr magnetons follow the coordinates.
Positions (direct):
Au (0.0000, 0.0000, 0.5000)  -0.05
Au (0.5000, 0.0000, 0.0000)  -0.06
As (0.5000, 0.5000, 0.5000)  -0.58
Ta (0.0000, 0.5000, 0.0000)  2.17
Sr (0.0000, 0.0000, 0.0000)  0.10

Fermi-level density of states (states/eV per cell): 2.6
Symmetry: P4/mmm
Final energy (eV per atom): -3.051
Formation enthalpy at 0 K (eV/atom): 1.896

***

VASP calculation (PBE) on a relaxed SrTcAs2Au crystal.

abc: 4.7921 5.3331 4.7921
angles: 90.00 90.00 90.00
Positions (direct):
As (0.0000, 0.0000, 0.5000)
As (0.5000, 0.0000, 0.0000)
Tc (0.0000, 0.0000, 0.0000)
Au (0.0000, 0.5000, 0.0000)
Sr (0.5000, 0.5000, 0.5000)

Fermi-level density of states (states/eV per cell): 2.8
Symmetry: P4/mmm
Final energy (eV per atom): -5.176
Formation enthalpy at 0 K (eV/atom): -0.252

***

VASP calculation (PBE) on a relaxed Sr2TiAsAu crystal.

abc: 5.9792 4.8363 5.9792
angles: 90.00 90.00 90.00
Site moments in Bohr magnetons follow the coordinates.
Positions (direct):
Sr (0.5000, 0.0000, 0.0000)  0.10
Sr (0.0000, 0.0000, 0.5000)  0.13
Ti (0.0000, 0.0000, 0.0000)  1.81
As (0.5000, 0.5000, 0.5000)  -0.02
Au (0.0000, 0.5000, 0.0000)  0.04

Fermi-level density of states (states/eV per cell): 5.2
Symmetry: P4/mmm
Final energy (eV per atom): -3.409
Formation enthalpy at 0 K (eV/atom): 0.428

***

VASP calculation (PBE) on a relaxed Sr4U3As8Au crystal.

abc: 8.3901 8.6329 8.3968
angles: 119.10 119.97 90.00
Site moments in Bohr magnetons follow the coordinates.
Positions (direct):
As (0.2418, 0.7147, 0.4837)  -0.06
As (0.2609, 0.2825, 0.5217)  -0.06
As (0.7318, 0.7141, 0.9729)  -0.06
As (0.2412, 0.7141, 0.9729)  -0.06
As (0.7391, 0.7175, 0.4783)  -0.06
As (0.7588, 0.2859, 0.0271)  -0.06
As (0.2682, 0.2859, 0.0271)  -0.06
As (0.7582, 0.2853, 0.5163)  -0.06
Sr (0.5000, 0.0000, 0.5000)  -0.01
Sr (0.0000, 0.0000, 0.0000)  -0.01
Sr (0.5000, 0.0000, 0.0000)  -0.01
Sr (0.0000, 0.0000, 0.5000)  -0.01
U (0.5000, 0.5000, 0.0000)  1.57
U (0.0000, 0.5000, 0.5000)  1.58
U (0.5000, 0.5000, 0.5000)  1.58
Au (0.0000, 0.5000, 0.0000)  -0.02

Fermi-level density of states (states/eV per cell): 23.6
Symmetry: C2/m
Final energy (eV per atom): -5.834
Formation enthalpy at 0 K (eV/atom): -0.768

***

Q: What is the formula in the eleventh record?
A: Sr2TiAsAu

***

Q: Among the records above, which one has the lowest Fermi-level density of states?
A: SrAsAu

***

Q: Which of these has the lowest formation enthalpy at 0 K?
A: Sr2AsAu

***

Q: What is the final energy in the seventh record?
A: -4.229 eV per atom